[1]
This record from the Alexandria database describes Cs6ZrO4 after structural relaxation. The functional is PBE. Values from VASP.

## Properties
Formation energy without anion corrections: -154.3 kJ per mole of atoms

Quantum ESPRESSO input file:
```
&SYSTEM
  ibrav = 0, nat = 22, ntyp = 3
/
ATOMIC_SPECIES
Cs 132.91 Cs.upf
Zr 91.22 Zr.upf
O 16.00 O.upf
CELL_PARAMETERS angstrom
15.202 0.000 0.000
-7.601 13.165 0.000
0.000 0.000 6.379
ATOMIC_POSITIONS angstrom
Cs -2.076 7.578 0.000
Cs 0.000 4.413 2.813
Cs -3.779 10.958 2.813
Cs 3.822 2.207 6.003
Cs 2.076 7.578 0.000
Cs 0.000 11.174 0.000
Cs 7.601 1.991 3.190
Cs 5.525 5.587 3.190
Cs 3.779 10.958 2.813
Cs 11.380 2.207 6.003
Cs 7.601 8.752 6.003
Cs 9.677 5.587 3.190
Zr 0.000 8.777 2.837
Zr 7.601 4.388 6.026
O 0.000 6.951 2.014
O -1.581 9.690 2.014
O 0.000 8.777 4.842
O 1.581 9.690 2.014
O 6.019 3.475 5.204
O 7.601 4.388 1.652
O 9.182 3.475 5.204
O 7.601 6.215 5.204
```


[2]
This record from the Alexandria database describes CsZrO2 after structural relaxation. The functional is PBE. Values from VASP.

## Properties
Formation energy without anion corrections: -79.3 kJ per mole of atoms

Quantum ESPRESSO input file:
```
&SYSTEM
  ibrav = 0, nat = 16, ntyp = 3
/
ATOMIC_SPECIES
Cs 132.91 Cs.upf
Zr 91.22 Zr.upf
O 16.00 O.upf
CELL_PARAMETERS angstrom
6.227 0.000 0.000
0.000 6.227 0.000
0.000 0.000 6.227
ATOMIC_POSITIONS angstrom
Cs 0.000 0.000 0.000
Cs 0.000 3.114 3.114
Cs 3.114 0.000 3.114
Cs 3.114 3.114 0.000
Zr 0.000 0.000 3.114
Zr 0.000 3.114 0.000
Zr 3.114 0.000 0.000
Zr 3.114 3.114 3.114
O 1.557 1.557 1.557
O 1.557 1.557 4.671
O 1.557 4.671 1.557
O 1.557 4.671 4.671
O 4.671 1.557 1.557
O 4.671 1.557 4.671
O 4.671 4.671 1.557
O 4.671 4.671 4.671
```


[3]
This record from the Alexandria database describes CsZr3O after structural relaxation. The functional is PBE. Values from VASP.

## Properties
Energy above the lowest structure with this stoichiometry: 2482.3 meV per atom
Formation energy without anion corrections: 236.4 kJ per mole of atoms

Quantum ESPRESSO input file:
```
&SYSTEM
  ibrav = 0, nat = 5, ntyp = 3
/
ATOMIC_SPECIES
Cs 132.91 Cs.upf
Zr 91.22 Zr.upf
O 16.00 O.upf
CELL_PARAMETERS angstrom
5.253 0.000 0.000
0.000 5.253 0.000
0.000 0.000 5.253
ATOMIC_POSITIONS angstrom
Cs 0.000 0.000 0.000
Zr 0.000 0.000 2.627
Zr 0.000 2.627 0.000
Zr 2.627 0.000 0.000
O 2.627 2.627 2.627
```


[4]
This record from the Alexandria database describes CsZr3O after structural relaxation. The functional is PBE. Values from VASP.

## Properties
Energy above the lowest structure with this stoichiometry: 0.0 meV per atom
Formation energy without anion corrections: -3.1 kJ per mole of atoms

Quantum ESPRESSO input file:
```
&SYSTEM
  ibrav = 0, nat = 5, ntyp = 3
/
ATOMIC_SPECIES
Cs 132.91 Cs.upf
Zr 91.22 Zr.upf
O 16.00 O.upf
CELL_PARAMETERS angstrom
4.702 0.000 0.000
0.000 4.702 0.000
0.000 0.000 4.702
ATOMIC_POSITIONS angstrom
Cs 0.000 0.000 0.000
Zr 0.000 2.351 2.351
Zr 2.351 0.000 2.351
Zr 2.351 2.351 0.000
O 2.351 2.351 2.351
```


[5]
This record from the Alexandria database describes Cs3ZrO3 after structural relaxation. The functional is PBE. Values from VASP.

## Properties
Formation energy without anion corrections: -183.8 kJ per mole of atoms

Quantum ESPRESSO input file:
```
&SYSTEM
  ibrav = 0, nat = 28, ntyp = 3
/
ATOMIC_SPECIES
Cs 132.91 Cs.upf
Zr 91.22 Zr.upf
O 16.00 O.upf
CELL_PARAMETERS angstrom
8.491 -5.501 0.000
8.491 5.501 0.000
0.000 0.000 10.753
ATOMIC_POSITIONS angstrom
Cs 3.032 1.805 9.488
Cs 5.459 1.805 6.641
Cs 8.491 3.162 8.997
Cs 8.491 2.339 3.621
Cs 3.032 -1.805 1.265
Cs 5.459 -1.805 4.112
Cs 11.522 1.805 6.641
Cs 13.950 1.805 9.488
Cs 8.491 -2.339 7.132
Cs 8.491 -3.162 1.756
Cs 11.522 -1.805 4.112
Cs 13.950 -1.805 1.265
Zr 1.565 0.000 5.377
Zr 6.925 0.000 0.000
Zr 10.056 0.000 0.000
Zr 15.416 0.000 5.377
O 2.583 1.454 6.216
O 8.491 4.743 6.519
O 5.908 1.454 9.913
O 2.583 -1.454 4.537
O 8.491 0.758 1.143
O 5.908 -1.454 0.840
O 11.074 1.454 9.913
O 8.491 -0.758 9.611
O 14.399 1.454 6.216
O 11.074 -1.454 0.840
O 8.491 -4.743 4.234
O 14.399 -1.454 4.537
```


[6]
This record from the Alexandria database describes Cs3ZrO after structural relaxation. The functional is PBE. Values from VASP.

## Properties
Formation energy without anion corrections: 104.9 kJ per mole of atoms

Quantum ESPRESSO input file:
```
&SYSTEM
  ibrav = 0, nat = 5, ntyp = 3
/
ATOMIC_SPECIES
Cs 132.91 Cs.upf
Zr 91.22 Zr.upf
O 16.00 O.upf
CELL_PARAMETERS angstrom
6.941 0.000 0.000
0.000 6.941 0.000
0.000 0.000 6.941
ATOMIC_POSITIONS angstrom
Cs 0.000 0.000 3.470
Cs 0.000 3.470 0.000
Cs 3.470 0.000 0.000
Zr 0.000 0.000 0.000
O 3.470 3.470 3.470
```


[7]
This record from the Alexandria database describes Cs3Zr5O12 after structural relaxation. The functional is PBE. Values from VASP.

## Properties
Formation energy without anion corrections: -256.9 kJ per mole of atoms

Quantum ESPRESSO input file:
```
&SYSTEM
  ibrav = 0, nat = 80, ntyp = 3
/
ATOMIC_SPECIES
Cs 132.91 Cs.upf
Zr 91.22 Zr.upf
O 16.00 O.upf
CELL_PARAMETERS angstrom
-7.142 7.142 7.142
7.142 -7.142 7.142
7.142 7.142 -7.142
ATOMIC_POSITIONS angstrom
Cs 3.571 1.786 0.000
Cs 7.142 3.571 -1.786
Cs 1.786 0.000 3.571
Cs 8.928 0.000 3.571
Cs 0.000 3.571 1.786
Cs 3.571 -1.786 7.142
Cs 3.571 8.928 0.000
Cs 7.142 3.571 5.357
Cs -1.786 7.142 3.571
Cs 5.357 7.142 3.571
Cs 0.000 3.571 8.928
Cs 3.571 5.357 7.142
Zr 0.000 0.000 0.000
Zr 3.571 3.571 -3.571
Zr 3.571 -3.571 3.571
Zr 7.142 0.000 0.000
Zr 10.713 1.786 0.000
Zr 7.142 -3.571 5.357
Zr 5.357 7.142 -3.571
Zr 5.357 0.000 3.571
Zr 3.571 5.357 0.000
Zr 7.142 3.571 1.786
Zr -3.571 3.571 3.571
Zr 0.000 7.142 0.000
Zr 0.000 0.000 7.142
Zr 3.571 3.571 3.571
Zr 0.000 3.571 5.357
Zr 3.571 1.786 7.142
Zr 1.786 7.142 3.571
Zr 1.786 0.000 10.713
Zr 0.000 10.713 1.786
Zr -3.571 5.357 7.142
O 5.591 -4.044 4.170
O 12.265 0.599 -0.473
O 9.162 0.599 0.473
O 8.694 -3.098 4.170
O 10.241 2.972 -1.552
O 7.615 -5.123 6.543
O 4.170 5.591 -4.044
O 6.543 -0.473 2.019
O 6.543 7.615 -5.123
O 4.170 -1.552 4.044
O 4.044 4.170 -1.552
O 6.670 2.019 0.599
O 11.186 2.972 1.552
O 6.670 -2.019 6.543
O 6.543 6.670 -2.019
O 4.170 1.552 3.098
O 4.170 8.694 -3.098
O 6.543 0.473 5.123
O 3.098 4.170 1.552
O 7.615 5.123 0.599
O 2.019 6.543 -0.473
O 8.694 3.098 2.972
O 5.123 6.543 0.473
O 5.591 4.044 2.972
O 1.552 3.098 4.170
O 2.019 0.599 6.670
O -1.552 4.044 4.170
O 5.123 0.599 7.615
O -0.473 2.019 6.543
O 4.044 2.972 5.591
O 0.599 6.670 2.019
O 2.972 -1.552 10.241
O 2.972 5.591 4.044
O 0.599 0.473 9.162
O 0.473 9.162 0.599
O -4.044 4.170 5.591
O 0.473 5.123 6.543
O 3.098 2.972 8.694
O 2.972 8.694 3.098
O 0.599 -0.473 12.265
O 0.599 7.615 5.123
O 2.972 1.552 11.186
O -0.473 12.265 0.599
O -3.098 4.170 8.694
O -1.552 10.241 2.972
O -2.019 6.543 6.670
O -5.123 6.543 7.615
O 1.552 11.186 2.972
```


[8]
This record from the Alexandria database describes CsZrO2 after structural relaxation. The functional is PBE. Values from VASP.

## Properties
Formation energy without anion corrections: -211.1 kJ per mole of atoms

Quantum ESPRESSO input file:
```
&SYSTEM
  ibrav = 0, nat = 16, ntyp = 3
/
ATOMIC_SPECIES
Cs 132.91 Cs.upf
Zr 91.22 Zr.upf
O 16.00 O.upf
CELL_PARAMETERS angstrom
5.907 0.000 0.000
0.000 5.907 0.000
0.000 0.000 11.043
ATOMIC_POSITIONS angstrom
Cs 0.000 0.000 0.000
Cs 0.000 2.954 2.761
Cs 2.954 0.000 8.283
Cs 2.954 2.954 5.522
Zr 0.000 0.000 5.522
Zr 0.000 2.954 8.283
Zr 2.954 0.000 2.761
Zr 2.954 2.954 0.000
O 0.330 1.477 6.902
O 1.477 3.283 9.663
O 1.477 5.578 4.141
O 2.624 1.477 1.380
O 3.283 4.431 1.380
O 4.431 0.330 4.141
O 4.431 2.624 9.663
O 5.578 4.431 6.902
```


[9]
This record from the Alexandria database describes CsOs after structural relaxation. The functional is PBE. Values from VASP.

## Properties
E_form: 2.97 eV per atom
Energy above the lowest structure with this stoichiometry: 2006.7 meV per atom

Quantum ESPRESSO input file:
```
&SYSTEM
  ibrav = 0, nat = 4, ntyp = 2
/
ATOMIC_SPECIES
Cs 132.91 Cs.upf
Os 190.23 Os.upf
CELL_PARAMETERS angstrom
6.396 0.000 0.000
-3.198 5.539 0.000
0.000 0.000 7.279
ATOMIC_POSITIONS angstrom
Cs 0.000 3.693 0.000
Cs 3.198 1.846 3.640
Os 0.000 3.693 3.654
Os 3.198 1.846 0.014
```


[10]
This record from the Alexandria database describes CsOs after structural relaxation. The functional is PBE. Values from VASP.

## Properties
E_form: 1.01 eV per atom
Energy above the lowest structure with this stoichiometry: 48.8 meV per atom

Quantum ESPRESSO input file:
```
&SYSTEM
  ibrav = 0, nat = 4, ntyp = 2
/
ATOMIC_SPECIES
Cs 132.91 Cs.upf
Os 190.23 Os.upf
CELL_PARAMETERS angstrom
3.385 0.000 0.000
0.000 3.799 0.000
0.000 0.000 11.300
ATOMIC_POSITIONS angstrom
Cs 0.846 0.950 2.625
Cs 2.539 2.849 8.676
Os 0.846 2.849 5.603
Os 2.539 0.950 5.698
```


[11]
This record from the Alexandria database describes CsOs after structural relaxation. The functional is PBE. Values from VASP.

## Properties
E_form: 2.24 eV per atom
Energy above the lowest structure with this stoichiometry: 1276.4 meV per atom

Quantum ESPRESSO input file:
```
&SYSTEM
  ibrav = 0, nat = 4, ntyp = 2
/
ATOMIC_SPECIES
Cs 132.91 Cs.upf
Os 190.23 Os.upf
CELL_PARAMETERS angstrom
5.376 0.000 0.000
0.000 3.118 0.000
-1.757 0.000 6.108
ATOMIC_POSITIONS angstrom
Cs 0.000 0.000 0.000
Cs 2.688 1.559 0.000
Os -0.878 1.559 3.054
Os 1.810 0.000 3.054
```


[12]
This record from the Alexandria database describes CsOs after structural relaxation. The functional is PBE. Values from VASP.

## Properties
E_form: 2.24 eV per atom
Energy above the lowest structure with this stoichiometry: 1275.3 meV per atom

Quantum ESPRESSO input file:
```
&SYSTEM
  ibrav = 0, nat = 2, ntyp = 2
/
ATOMIC_SPECIES
Cs 132.91 Cs.upf
Os 190.23 Os.upf
CELL_PARAMETERS angstrom
3.102 0.000 0.000
-1.551 2.687 0.000
0.000 0.000 6.102
ATOMIC_POSITIONS angstrom
Cs 0.000 0.000 0.000
Os 1.551 0.896 3.051
```


[13]
This record from the Alexandria database describes CsOs after structural relaxation. The functional is PBE. Values from VASP.

## Properties
E_form: 1.28 eV per atom
Energy above the lowest structure with this stoichiometry: 314.1 meV per atom

Quantum ESPRESSO input file:
```
&SYSTEM
  ibrav = 0, nat = 12, ntyp = 2
/
ATOMIC_SPECIES
Cs 132.91 Cs.upf
Os 190.23 Os.upf
CELL_PARAMETERS angstrom
14.512 0.000 0.000
-7.256 12.567 0.000
0.000 0.000 3.928
ATOMIC_POSITIONS angstrom
Cs -2.836 9.408 0.982
Cs 0.526 5.408 0.982
Cs 4.946 2.248 2.946
Cs 2.310 10.319 0.982
Cs 6.730 7.160 2.946
Cs 10.091 3.159 2.946
Os -3.099 5.987 0.982
Os -0.522 12.258 0.982
Os 3.635 5.677 2.946
Os 3.621 6.890 0.982
Os 7.777 0.309 2.946
Os 10.355 6.581 2.946
```


[14]
This record from the Alexandria database describes CsOs after structural relaxation. The functional is PBE. Values from VASP.

## Properties
E_form: 0.96 eV per atom
Energy above the lowest structure with this stoichiometry: 0.0 meV per atom

Quantum ESPRESSO input file:
```
&SYSTEM
  ibrav = 0, nat = 12, ntyp = 2
/
ATOMIC_SPECIES
Cs 132.91 Cs.upf
Os 190.23 Os.upf
CELL_PARAMETERS angstrom
11.036 0.000 0.000
0.000 11.202 0.000
0.000 0.000 3.802
ATOMIC_POSITIONS angstrom
Cs 0.000 2.229 0.000
Cs 2.014 7.915 3.779
Cs 3.504 3.287 1.878
Cs 5.518 8.973 1.901
Cs 7.532 3.287 1.878
Cs 9.022 7.915 3.779
Os 0.000 10.431 2.704
Os 2.065 10.970 1.610
Os 3.453 0.232 3.511
Os 5.518 0.771 0.803
Os 7.583 0.232 3.511
Os 8.972 10.970 1.610
```


[15]
This record from the Alexandria database describes CsOs after structural relaxation. The functional is PBE. Values from VASP.

## Properties
E_form: 2.00 eV per atom
Energy above the lowest structure with this stoichiometry: 1037.0 meV per atom

Quantum ESPRESSO input file:
```
&SYSTEM
  ibrav = 0, nat = 8, ntyp = 2
/
ATOMIC_SPECIES
Cs 132.91 Cs.upf
Os 190.23 Os.upf
CELL_PARAMETERS angstrom
7.659 0.000 0.000
0.000 7.659 0.000
0.000 0.000 7.231
ATOMIC_POSITIONS angstrom
Cs 1.419 1.419 0.000
Cs 2.410 5.249 3.615
Cs 5.249 2.410 3.615
Cs 6.240 6.240 0.000
Os 0.787 0.787 3.615
Os 3.042 4.617 0.000
Os 4.617 3.042 0.000
Os 6.872 6.872 3.615
```


[16]
This record from the Alexandria database describes CsOs after structural relaxation. The functional is PBE. Values from VASP.

## Properties
E_form: 1.28 eV per atom
Energy above the lowest structure with this stoichiometry: 312.5 meV per atom

Quantum ESPRESSO input file:
```
&SYSTEM
  ibrav = 0, nat = 16, ntyp = 2
/
ATOMIC_SPECIES
Cs 132.91 Cs.upf
Os 190.23 Os.upf
CELL_PARAMETERS angstrom
14.972 0.000 0.000
0.000 14.972 0.000
0.000 0.000 3.931
ATOMIC_POSITIONS angstrom
Cs 0.518 11.238 0.000
Cs 3.734 0.518 0.000
Cs 3.752 6.968 1.966
Cs 6.968 11.220 1.966
Cs 8.004 3.752 1.966
Cs 11.220 8.004 1.966
Cs 11.238 14.454 0.000
Cs 14.454 3.734 0.000
Os 3.155 3.884 0.000
Os 3.602 10.641 1.966
Os 3.884 11.817 0.000
Os 4.331 3.602 1.966
Os 10.641 11.370 1.966
Os 11.088 3.155 0.000
Os 11.370 4.331 1.966
Os 11.817 11.088 0.000
```


[17]
This record from the Alexandria database describes CsOs after structural relaxation. The functional is PBE. Values from VASP.

## Properties
E_form: 1.06 eV per atom
Energy above the lowest structure with this stoichiometry: 96.7 meV per atom

Quantum ESPRESSO input file:
```
&SYSTEM
  ibrav = 0, nat = 16, ntyp = 2
/
ATOMIC_SPECIES
Cs 132.91 Cs.upf
Os 190.23 Os.upf
CELL_PARAMETERS angstrom
12.529 0.000 0.000
0.000 12.529 0.000
0.000 0.000 4.029
ATOMIC_POSITIONS angstrom
Cs 0.878 2.710 0.000
Cs 2.710 11.651 0.000
Cs 3.448 5.066 2.015
Cs 5.066 9.081 2.015
Cs 7.463 3.448 2.015
Cs 9.081 7.463 2.015
Cs 9.819 0.878 0.000
Cs 11.651 9.819 0.000
Os 0.708 7.247 2.015
Os 1.831 7.726 0.000
Os 4.803 1.831 0.000
Os 5.282 0.708 2.015
Os 7.247 11.821 2.015
Os 7.726 10.698 0.000
Os 10.698 4.803 0.000
Os 11.821 5.282 2.015
```


[18]
This record from the Alexandria database describes CsOs after structural relaxation. The functional is PBE. Values from VASP.

## Properties
E_form: 3.32 eV per atom
Energy above the lowest structure with this stoichiometry: 2359.4 meV per atom

Quantum ESPRESSO input file:
```
&SYSTEM
  ibrav = 0, nat = 8, ntyp = 2
/
ATOMIC_SPECIES
Cs 132.91 Cs.upf
Os 190.23 Os.upf
CELL_PARAMETERS angstrom
6.002 0.000 0.000
0.000 6.002 0.000
0.000 0.000 6.002
ATOMIC_POSITIONS angstrom
Cs 0.000 0.000 0.000
Cs 0.000 3.001 3.001
Cs 3.001 0.000 3.001
Cs 3.001 3.001 0.000
Os 0.000 0.000 3.001
Os 0.000 3.001 0.000
Os 3.001 0.000 0.000
Os 3.001 3.001 3.001
```


[19]
This record from the Alexandria database describes CsOs after structural relaxation. The functional is PBE. Values from VASP.

## Properties
E_form: 1.13 eV per atom
Energy above the lowest structure with this stoichiometry: 171.0 meV per atom

Quantum ESPRESSO input file:
```
&SYSTEM
  ibrav = 0, nat = 8, ntyp = 2
/
ATOMIC_SPECIES
Cs 132.91 Cs.upf
Os 190.23 Os.upf
CELL_PARAMETERS angstrom
12.639 0.000 0.000
0.000 5.845 0.000
-0.191 0.000 4.085
ATOMIC_POSITIONS angstrom
Cs 1.731 0.000 1.097
Cs 4.398 2.922 2.988
Cs 8.050 2.922 1.097
Cs 10.717 0.000 2.988
Os 0.408 2.922 3.090
Os 5.720 0.000 0.995
Os 6.728 0.000 3.090
Os 12.040 2.922 0.995
```